Record 1
## Sc4In3Co (PBE-GGA)

Data for a relaxed Sc4In3Co crystal.

a = 3.184 Å, b = 3.184 Å, c = 16.354 Å
α = 90.00°, β = 90.00°, γ = 90.00°
Space group P4/mmm (No. 123)
One atom of each set of equivalent atoms:
Sc: 0.000 0.000 0.093 x2
Sc: 0.000 0.000 0.365 x2
In: 0.500 0.500 0.232 x2
In: 0.500 0.500 0.500 x1
Co: 0.500 0.500 0.000 x1

Spin magnetization, μB per cell: 1.45
ΔH_f (0 K), eV per atom: -0.428
Total DFT energy (no corrections), eV per atom: -5.51
Density, kg/m3: 5840


Record 2
## AlMoBr (PBE-GGA)

Data for a relaxed AlMoBr crystal.

a = 4.5472 Å, b = 4.5472 Å, c = 2.9590 Å
α = 90.00°, β = 90.00°, γ = 120.00°
Space group P-6m2 (No. 187)
One atom of each set of equivalent atoms:
Al: 0.0000 0.0000 0.0000 x1
Mo: 0.3333 0.6667 0.5000 x1
Br: 0.6667 0.3333 0.5000 x1

Energy relative to the elements, uncorrected, eV/f.u.: 1.64
Spin magnetization, μB per cell: 0.22
Total DFT energy (no corrections), eV per atom: -4.87
Energy above the lowest structure with this stoichiometry, meV per atom: 273
Density, kg/m3: 6356


Record 3
## CrSiAu2 (PBE-GGA)

Data for a relaxed CrSiAu2 crystal.

a = 2.9039 Å, b = 2.9039 Å, c = 25.9302 Å
α = 90.00°, β = 90.00°, γ = 120.00°
Space group R3m (No. 160, hexagonal axes)
One atom of each set of equivalent atoms:
Cr: 0.0000 0.0000 0.0000 x3
Si: 0.0000 0.0000 0.2633 x3
Au: 0.0000 0.0000 0.5148 x3
Au: 0.0000 0.0000 0.7507 x3

Energy relative to the elements, uncorrected, eV/f.u.: 0.73
Spin magnetization, μB per cell: 6.38
Total DFT energy (no corrections), eV per atom: -5.22
Density, kg/m3: 12470


Record 4
## Li2AgBiH (PBE-GGA)

Data for a relaxed Li2AgBiH crystal.

a = 4.470 Å, b = 4.470 Å, c = 3.954 Å
α = 90.00°, β = 90.00°, γ = 90.00°
Space group P4/mmm (No. 123)
One atom of each set of equivalent atoms:
Li: 0.000 0.500 0.000 x2
Ag: 0.000 0.000 0.500 x1
Bi: 0.500 0.500 0.500 x1
H: 0.000 0.000 0.000 x1

Spin magnetization, μB per cell: 0.00
Total DFT energy (no corrections), eV per atom: -3.03
Energy above the lowest structure with this stoichiometry, meV per atom: 0
Density, kg/m3: 6973


Record 5
## Ho5SnRu2 (PBE-GGA)

Data for a relaxed Ho5SnRu2 crystal.

a = 7.683 Å, b = 7.683 Å, c = 13.536 Å
α = 90.00°, β = 90.00°, γ = 90.00°
Space group I4/mcm (No. 140)
One atom of each set of equivalent atoms:
Ho: 0.000 0.000 0.000 x4
Ho: 0.158 0.342 0.133 x16
Sn: 0.000 0.000 0.250 x4
Ru: 0.141 0.359 0.500 x8

Spin magnetization, μB per cell: 0.00
ΔH_f (0 K), eV per atom: -0.491
Total DFT energy (no corrections), eV per atom: -6.17
Density, kg/m3: 9523


Record 6
## Na2I (PBE-GGA)

Data for a relaxed Na2I crystal.

a = 4.013 Å, b = 4.013 Å, c = 13.984 Å
α = 90.00°, β = 90.00°, γ = 90.00°
Space group I4/mmm (No. 139)
One atom of each set of equivalent atoms:
Na: 0.000 0.000 0.139 x4
I: 0.000 0.000 0.500 x2

Energy relative to the elements, uncorrected, eV/f.u.: -1.97
Spin magnetization, μB per cell: 0.00
Total DFT energy (no corrections), eV per atom: -2.05
Density, kg/m3: 2549


Record 7
## NaPtF4 (PBE-GGA)

Data for a relaxed NaPtF4 crystal.

a = 5.904 Å, b = 5.904 Å, c = 5.806 Å
α = 90.00°, β = 90.00°, γ = 90.00°
Space group I-4 (No. 82)
One atom of each set of equivalent atoms:
Na: 0.000 0.000 0.000 x2
Pt: 0.000 0.500 0.750 x2
F: 0.231 0.734 0.750 x8

Energy relative to the elements, uncorrected, eV/f.u.: -9.92
Spin magnetization, μB per cell: 2.03
Total DFT energy (no corrections), eV per atom: -4.13
Density, kg/m3: 4826


Record 8
## BaCaLaZr2 (PBE-GGA)

Data for a relaxed BaCaLaZr2 crystal.

a = 5.467 Å, b = 5.467 Å, c = 6.148 Å
α = 90.00°, β = 90.00°, γ = 90.00°
Space group P4/mmm (No. 123)
One atom of each set of equivalent atoms:
Ba: 0.000 0.000 0.000 x1
Ca: 0.500 0.500 0.000 x1
La: 0.500 0.500 0.500 x1
Zr: 0.000 0.500 0.500 x2

Spin magnetization, μB per cell: 0.00
ΔH_f (0 K), eV per atom: 0.801
Total DFT energy (no corrections), eV per atom: -4.39
Density, kg/m3: 4508


What did the first record say?
## Sc4In3Co (PBE-GGA)

Data for a relaxed Sc4In3Co crystal.

a = 3.184 Å, b = 3.184 Å, c = 16.354 Å
α = 90.00°, β = 90.00°, γ = 90.00°
Space group P4/mmm (No. 123)
One atom of each set of equivalent atoms:
Sc: 0.000 0.000 0.093 x2
Sc: 0.000 0.000 0.365 x2
In: 0.500 0.500 0.232 x2
In: 0.500 0.500 0.500 x1
Co: 0.500 0.500 0.000 x1

Spin magnetization, μB per cell: 1.45
ΔH_f (0 K), eV per atom: -0.428
Total DFT energy (no corrections), eV per atom: -5.51
Density, kg/m3: 5840


Question: Which of these has the highest total DFT energy (no corrections)?
Answer: Na2I